# NbSnSeBr2 | Alexandria via LeMat-Bulk | GGA-PBEsol | optimized geometry
# **Size of the total moment**: 1.0 Bohr magnetons per cell
# **D(E_F)**: 1.0887 states/eV/atom
# **VASP energy**: -4.639 eV per atom
data_NbSnSeBr2
_chemical_formula_sum 'Nb1 Sn1 Se1 Br2'
_space_group_name_H-M_alt 'P 4/m m m'
_space_group_IT_number 123
_space_group_name_Hall '-P 4 2'
_cell_length_a 5.1220
_cell_length_b 5.1220
_cell_length_c 5.0168
_cell_angle_alpha 90.00
_cell_angle_beta 90.00
_cell_angle_gamma 90.00
loop_
_atom_site_label
_atom_site_type_symbol
_atom_site_fract_x
_atom_site_fract_y
_atom_site_fract_z
Nb1 Nb 0.0000 0.0000 0.0000
Sn1 Sn 0.5000 0.5000 0.5000
Se1 Se 0.0000 0.0000 0.5000
Br1 Br 0.0000 0.5000 0.0000